DFT (PBE) results for a relaxed SrLa2Au crystal.

Lattice parameters (Å, degrees): 6.4235 6.4235 6.4235 135.81 135.81 64.28
Last column: nearest neighbours and their distance in Å.
Fractional coordinates of all 4 atoms:
Sr 0.0000 0.0000 0.0000  8 La 3.42-3.64, 4 Au 3.64
La 0.5000 0.5000 0.0000  4 Sr 3.42, 4 La 3.64, 4 Au 3.64
La 0.7500 0.2500 0.5000  4 Au 3.42, 4 La 3.64, 4 Sr 3.64
Au 0.2500 0.7500 0.5000  8 La 3.42-3.64, 4 Sr 3.64

Computed properties:
- DFT total energy (eV for the cell shown) = -15.14
- formation energy (eV per formula unit) = -0.3
- DOS(E_F) (states/eV/cell) = 6.62
- spin magnetization (Bohr magnetons per cell) = 0.00
- crystal system = tetragonal

---

DFT (PBE) results for a relaxed SrLa2Au crystal.

Lattice parameters (Å, degrees): 10.8440 10.8440 10.8440 22.18 22.18 22.18
Last column: nearest neighbours and their distance in Å.
Fractional coordinates of all 4 atoms:
Sr 0.0000 0.0000 0.0000  6 La 4.16-4.20, 6 Sr 4.17
La 0.5583 0.5583 0.5583  3 Au 3.06
La 0.7736 0.7736 0.7736  3 Au 3.04
Au 0.1656 0.1656 0.1656  6 La 3.04-3.06

Computed properties:
- DFT total energy (eV for the cell shown) = -15.82
- formation energy (eV per formula unit) = -1.0
- DOS(E_F) (states/eV/cell) = 6.22
- spin magnetization (Bohr magnetons per cell) = 0.00
- crystal system = trigonal

---

DFT (PBE) results for a relaxed SrLa2Au crystal.

Lattice parameters (Å, degrees): 7.3723 7.3723 7.3723 102.44 102.44 124.69
Last column: nearest neighbours and their distance in Å.
Fractional coordinates of all 8 atoms:
Sr 0.0000 0.0000 0.0000  2 Au 3.42, 4 La 3.81
Sr 0.7500 0.2500 0.5000  2 Au 3.42, 4 La 3.81
La 0.1896 0.6250 0.0646  2 Au 3.00
La 0.3750 0.4396 0.5646  2 Au 3.00
La 0.5604 0.1250 0.9354  2 Au 3.00
La 0.8750 0.8104 0.4354  2 Au 3.00
Au 0.2500 0.7500 0.5000  4 La 3.00
Au 0.5000 0.5000 0.0000  4 La 3.00

Computed properties:
- DFT total energy (eV for the cell shown) = -31.35
- formation energy (eV per formula unit) = -0.9
- DOS(E_F) (states/eV/cell) = 12.14
- spin magnetization (Bohr magnetons per cell) = 0.00
- crystal system = tetragonal

---

DFT (PBE) results for a relaxed SrLaAu4 crystal.

Lattice parameters (Å, degrees): 5.8355 5.8355 5.8355 60.00 60.00 60.00
Last column: nearest neighbours and their distance in Å.
Fractional coordinates of all 6 atoms:
Sr 0.0000 0.0000 0.0000  12 Au 3.42, 4 La 3.57
La 0.2500 0.2500 0.2500  12 Au 3.42, 4 Sr 3.57
Au 0.1235 0.6255 0.6255  6 Au 2.91-2.93
Au 0.6255 0.1235 0.6255  6 Au 2.91-2.93
Au 0.6255 0.6255 0.1235  6 Au 2.91-2.93
Au 0.6255 0.6255 0.6255  6 Au 2.91-2.93

Computed properties:
- DFT total energy (eV for the cell shown) = -23.05
- formation energy (eV per formula unit) = -3.3
- DOS(E_F) (states/eV/cell) = 6.27
- spin magnetization (Bohr magnetons per cell) = 0.00
- crystal system = cubic